VASP calculation (GGA-PBEsol) on a relaxed Al7Ag crystal.

Results
E_form (meV per atom): 10.1
D(E_F) (states/eV/cell): 3.78
Total magnetic moment (μB/f.u.): 0.000
Energy above the lowest structure with this stoichiometry (eV per atom): 0.029
Space-group type: P4/mmm, No. 123

Cell: 4.018 4.018 8.051 Å, 90.00 90.00 90.00°
Atoms (fractional coordinates):
Al 0.000 0.000 0.000
Al 0.000 0.000 0.500
Al 0.000 0.500 0.249
Al 0.000 0.500 0.751
Al 0.500 0.000 0.249
Al 0.500 0.000 0.751
Al 0.500 0.500 0.000
Ag 0.500 0.500 0.500

---

VASP calculation (GGA-PBEsol) on a relaxed TlCrTeC2 crystal.

Results
D(E_F) (states/eV/cell): 3.30
Total magnetic moment (μB/f.u.): 1.295
Uncorrected formation energy (meV per atom): 1576
Space-group type: P4/mmm, No. 123

Cell: 3.950 3.950 5.564 Å, 90.00 90.00 90.00°
Atoms (fractional coordinates):
Tl 0.000 0.000 0.000
Cr 0.000 0.000 0.500
Te 0.500 0.500 0.000
C 0.000 0.500 0.500
C 0.500 0.000 0.500

---

Q: D(E_F) of number 2 (TlCrTeC2)?
A: 3.30 states/eV/cell

---

Q: Look up the total magnetic moment of the first one.
A: 0.000 μB/f.u.

---

Q: What is the formula in the first record?
A: Al7Ag